Entry 1:
# Ba3PbN

A geometry-optimized Ba3PbN structure (GGA-PBE, the Alexandria database).

Properties
**E_form (uncorrected)**: -0.36 eV/atom
**Density of states at the Fermi level**: 0.4177 states/eV per atom

Cell lengths 13.3133, 7.6862, 8.2707 Å; angles 90.00, 122.57, 90.00 degrees
Last column: nearest neighbours and their distance in Å.
Space group C2/m (No. 12)
One atom of each set of equivalent atoms:
Ba 0.0835 0.0000 0.2404 (multiplicity 4)  2 N 2.73-2.83
Ba 0.1717 0.2556 0.7594 (multiplicity 8)  2 N 2.72-2.84
Pb 0.0870 0.5000 0.2609 (multiplicity 4)  1 Pb 3.64, 6 Ba 3.85
N 0.1682 0.0000 0.0046 (multiplicity 4)  6 Ba 2.72-2.84



Entry 2:
# RbLi2C

A geometry-optimized RbLi2C structure (GGA-PBE, the Alexandria database).

Properties
**Energy of formation**: 72 kJ per mole of atoms
**Density of states at the Fermi level**: 0.3383 states/eV per atom

Cell lengths 6.4579, 6.4579, 9.4842 Å; angles 90.00, 90.00, 90.00 degrees
Last column: nearest neighbours and their distance in Å.
Space group I4_1/amd (No. 141, origin choice 2)
One atom of each set of equivalent atoms:
Rb 0.0000 0.2500 0.3750 (multiplicity 4)  12 Li 3.80-3.91, 4 Rb 4.01, 4 C 4.01
Li 0.0000 0.0000 0.0000 (multiplicity 8)  2 C 2.00
C 0.0000 0.2500 0.8750 (multiplicity 4)  4 Li 2.00



Entry 3:
# PmMgRu

A geometry-optimized PmMgRu structure (GGA-PBE, the Alexandria database).

Properties
**E above lowest polymorph**: 373.7 meV/atom
**Energy of formation**: 17 kJ per mole of atoms
**Density of states at the Fermi level**: 0.7049 states/eV per atom

Cell lengths 5.5492, 7.5793, 6.1659 Å; angles 90.00, 90.00, 90.00 degrees
Last column: nearest neighbours and their distance in Å.
Space group Cmcm (No. 63)
One atom of each set of equivalent atoms:
Pm 0.0000 0.1994 0.2500 (multiplicity 4)  2 Ru 2.75, 3 Mg 2.90-2.94
Mg 0.0000 0.1889 0.7500 (multiplicity 4)  2 Ru 2.82, 5 Pm 2.90-3.08
Ru 0.0000 0.5000 0.0000 (multiplicity 4)  2 Pm 2.75, 2 Mg 2.82



Entry 4:
# KLaBe2

A geometry-optimized KLaBe2 structure (GGA-PBE, the Alexandria database).

Properties
**E above lowest polymorph**: 529.3 meV/atom
**Energy of formation**: 88 kJ per mole of atoms
**Density of states at the Fermi level**: 0.6655 states/eV per atom

Cell lengths 3.8611, 3.8611, 27.5316 Å; angles 90.00, 90.00, 120.00 degrees
Last column: nearest neighbours and their distance in Å.
Space group R-3m (No. 166, hexagonal axes)
One atom of each set of equivalent atoms:
K 0.0000 0.0000 0.0000 (multiplicity 3)  6 Be 3.42
La 0.0000 0.0000 0.5000 (multiplicity 3)  6 Be 2.99
Be 0.0000 0.0000 0.2393 (multiplicity 6)  3 La 2.99



Entry 5:
# PmEuInSn

A geometry-optimized PmEuInSn structure (GGA-PBE, the Alexandria database).

Properties
**Energy of formation**: -52 kJ per mole of atoms
**Density of states at the Fermi level**: 0.4461 states/eV per atom

Cell lengths 7.7674, 7.7674, 7.7674 Å; angles 90.00, 90.00, 90.00 degrees
Last column: nearest neighbours and their distance in Å.
Space group F-43m (No. 216)
One atom of each set of equivalent atoms:
Pm 0.0000 0.0000 0.0000 (multiplicity 4)  4 In 3.36, 4 Sn 3.36
Eu 0.0000 0.0000 0.5000 (multiplicity 4)  4 In 3.36, 4 Sn 3.36
In 0.2500 0.2500 0.7500 (multiplicity 4)  4 Pm 3.36, 4 Eu 3.36
Sn 0.2500 0.2500 0.2500 (multiplicity 4)  4 Pm 3.36, 4 Eu 3.36



Entry 6:
# Pr3Cu3Au2

A geometry-optimized Pr3Cu3Au2 structure (GGA-PBE, the Alexandria database).

Properties
**Energy of formation**: -43 kJ per mole of atoms
**Density of states at the Fermi level**: 0.6673 states/eV per atom

Cell lengths 4.4622, 10.7359, 15.1325 Å; angles 90.00, 90.00, 90.00 degrees
Last column: nearest neighbours and their distance in Å.
Space group Cmcm (No. 63)
One atom of each set of equivalent atoms:
Pr 0.0000 0.0986 0.0985 (multiplicity 8)  7 Cu 3.07-3.35, 4 Au 3.14-3.28
Pr 0.0000 0.3727 0.2500 (multiplicity 4)  5 Cu 3.03-3.23, 4 Au 3.20
Cu 0.0000 0.3449 0.7500 (multiplicity 4)  2 Au 2.69
Cu 0.0000 0.3999 0.0413 (multiplicity 8)  1 Cu 2.49, 2 Au 2.65
Au 0.0000 0.1958 0.6068 (multiplicity 8)  3 Cu 2.65-2.69



Entry 7:
# Cu2AsCl

A geometry-optimized Cu2AsCl structure (GGA-PBE, the Alexandria database).

Properties
**E_form (uncorrected)**: 0.15 eV/atom
**E above lowest polymorph**: 231.3 meV/atom
**Density of states at the Fermi level**: 0.4814 states/eV per atom

Cell lengths 6.9303, 6.8969, 3.0591 Å; angles 90.00, 96.41, 90.00 degrees
Last column: nearest neighbours and their distance in Å.
Space group C2/m (No. 12)
One atom of each set of equivalent atoms:
Cu 0.2500 0.2500 0.0000 (multiplicity 4)  2 Cl 2.44, 2 As 2.44
As 0.0000 0.0000 0.0000 (multiplicity 2)  4 Cu 2.44
Cl 0.0000 0.5000 0.0000 (multiplicity 2)  4 Cu 2.44



Entry 8:
# SrCd9Pd3

A geometry-optimized SrCd9Pd3 structure (GGA-PBE, the Alexandria database).

Properties
**Energy of formation**: -30 kJ per mole of atoms
**Density of states at the Fermi level**: 0.3912 states/eV per atom

Cell lengths 5.7133, 14.2872, 7.3675 Å; angles 90.00, 112.06, 90.00 degrees
Last column: nearest neighbours and their distance in Å.
Space group C2/m (No. 12)
One atom of each set of equivalent atoms:
Sr 0.0000 0.0000 0.0000 (multiplicity 2)  14 Cd 3.40-3.68, 2 Pd 3.72
Cd 0.0000 0.0000 0.5000 (multiplicity 2)  2 Pd 2.86, 8 Cd 2.92-3.10
Cd 0.1023 0.3867 0.2181 (multiplicity 8)  3 Pd 2.83-2.86, 6 Cd 2.92-3.17
Cd 0.1717 0.1754 0.3364 (multiplicity 8)  3 Pd 2.88-3.09, 6 Cd 3.03-3.17
Pd 0.0000 0.5000 0.5000 (multiplicity 2)  10 Cd 2.86-3.09
Pd 0.2500 0.2500 0.0000 (multiplicity 4)  8 Cd 2.83-2.93, 2 Pd 2.86



Entry 9:
# Pr8Dy6Th

A geometry-optimized Pr8Dy6Th structure (GGA-PBE, the Alexandria database).

Properties
**Energy of formation**: 12 kJ per mole of atoms
**Density of states at the Fermi level**: 1.5447 states/eV per atom

Cell lengths 9.1943, 9.1943, 21.1177 Å; angles 90.00, 90.00, 120.00 degrees
Last column: nearest neighbours and their distance in Å.
Space group R-3 (No. 148, hexagonal axes)
One atom of each set of equivalent atoms:
Pr 0.0000 0.0000 0.0784 (multiplicity 6)  4 Pr 3.31-3.46, 3 Dy 3.40
Pr 0.0805 0.5194 0.3041 (multiplicity 18)  3 Dy 3.45-3.82, 5 Pr 3.46-3.52, 1 Th 3.54
Dy 0.0451 0.8010 0.2063 (multiplicity 18)  3 Pr 3.40-3.52, 1 Th 3.54, 3 Dy 3.58-3.80
Th 0.0000 0.0000 0.5000 (multiplicity 3)  6 Pr 3.54, 6 Dy 3.54



Entry 10:
# IrCl2F

A geometry-optimized IrCl2F structure (GGA-PBE, the Alexandria database).

Properties
**E_form (uncorrected)**: -0.05 eV/atom
**E above lowest polymorph**: 620.6 meV/atom
**Density of states at the Fermi level**: 0.0000 states/eV per atom

Cell lengths 3.5881, 3.5881, 21.5346 Å; angles 90.00, 90.00, 120.00 degrees
Last column: nearest neighbours and their distance in Å.
Space group R-3m (No. 166, hexagonal axes)
One atom of each set of equivalent atoms:
Ir 0.0000 0.0000 0.0000 (multiplicity 3)  6 Cl 2.42
Cl 0.0000 0.0000 0.3919 (multiplicity 6)  1 F 2.33, 3 Ir 2.42
F 0.0000 0.0000 0.5000 (multiplicity 3)  2 Cl 2.33



Entry 11:
# HoAg2Ge

A geometry-optimized HoAg2Ge structure (GGA-PBE, the Alexandria database).

Properties
**E above lowest polymorph**: 567.1 meV/atom
**Energy of formation**: 27 kJ per mole of atoms
**Density of states at the Fermi level**: 0.4700 states/eV per atom

Cell lengths 3.0933, 3.0933, 31.5010 Å; angles 90.00, 90.00, 120.00 degrees
Last column: nearest neighbours and their distance in Å.
Space group R-3m (No. 166, hexagonal axes)
One atom of each set of equivalent atoms:
Ho 0.0000 0.0000 0.0000 (multiplicity 3)  2 Ag 2.92, 6 Ho 3.09
Ag 0.0000 0.0000 0.0927 (multiplicity 6)  1 Ho 2.92, 3 Ge 2.93, 6 Ag 3.09
Ge 0.0000 0.0000 0.5000 (multiplicity 3)  6 Ag 2.93, 6 Ge 3.09



Entry 12:
# LaY6Ho3Er2

A geometry-optimized LaY6Ho3Er2 structure (GGA-PBE, the Alexandria database).

Properties
**Energy of formation**: 2 kJ per mole of atoms
**Density of states at the Fermi level**: 1.4331 states/eV per atom

Cell lengths 6.1742, 10.6851, 11.8205 Å; angles 90.00, 99.98, 90.00 degrees
Last column: nearest neighbours and their distance in Å.
Space group C2/m (No. 12)
One atom of each set of equivalent atoms:
La 0.0000 0.0000 0.0000 (multiplicity 2)  6 Er 3.56, 6 Y 3.59
Y 0.2482 0.3326 0.7478 (multiplicity 8)  3 Ho 3.54-3.55, 6 Y 3.55-3.58, 2 Er 3.58, 1 La 3.59
Y 0.2494 0.5000 0.2523 (multiplicity 4)  3 Ho 3.54-3.55, 6 Y 3.55-3.58, 2 Er 3.58, 1 La 3.59
Ho 0.0000 0.1671 0.5000 (multiplicity 4)  6 Y 3.54-3.55, 6 Ho 3.56-3.57
Ho 0.0000 0.5000 0.5000 (multiplicity 2)  6 Y 3.54-3.55, 6 Ho 3.56-3.57
Er 0.0000 0.3334 0.0000 (multiplicity 4)  3 Er 3.56, 3 La 3.56, 6 Y 3.58